a) A geometry-optimized Nb3CrCo structure. Source: Alexandria via LeMat-Bulk, functional PBE.

abc: 4.5443 4.5443 4.5443
angles: 90.00 90.00 90.00
Sites, in units of the cell vectors:
Nb 0.0000 0.0000 0.5000
Nb 0.0000 0.5000 0.0000
Nb 0.5000 0.0000 0.0000
Cr 0.5000 0.5000 0.5000
Co 0.0000 0.0000 0.0000

Output
As for the space group: Pm-3m, No. 221. As for the crystal system: cubic.

b) A geometry-optimized Nb3CrCo structure. Source: Alexandria via LeMat-Bulk, functional PBE.

abc: 4.5393 4.5393 4.5393
angles: 90.00 90.00 90.00
Sites, in units of the cell vectors:
Nb 0.0000 0.0000 0.5000
Nb 0.0000 0.5000 0.0000
Nb 0.5000 0.0000 0.0000
Cr 0.0000 0.0000 0.0000
Co 0.5000 0.5000 0.5000

Output
As for the space group: Pm-3m, No. 221. As for the crystal system: cubic.

Of them, a) has the highest stability.

a) A geometry-optimized CrCoNi structure. Source: Alexandria via LeMat-Bulk, functional PBE.

abc: 4.3641 4.3641 4.3641
angles: 140.66 140.66 56.85
Sites, in units of the cell vectors:
Cr 0.0000 0.0000 0.0000
Co 0.3405 0.3405 0.0000
Ni 0.6671 0.6671 0.0000

Output
As for the space group: I4mm, No. 107. As for the crystal system: tetragonal.

b) A geometry-optimized CrCoNi structure. Source: Alexandria via LeMat-Bulk, functional PBE.

abc: 6.2394 6.2394 6.2394
angles: 23.07 23.07 23.07
Sites, in units of the cell vectors:
Cr 0.0000 0.0000 0.0000
Co 0.7739 0.7739 0.7739
Ni 0.5556 0.5556 0.5556

Output
As for the space group: R3m, No. 160. As for the crystal system: trigonal.

c) A geometry-optimized CrCoNi structure. Source: Alexandria via LeMat-Bulk, functional PBE.

abc: 4.3060 4.3060 4.3060
angles: 146.69 131.71 59.93
Sites, in units of the cell vectors:
Cr 0.0000 0.0000 0.0000
Co 0.6620 0.6620 0.0000
Ni 0.3298 0.3298 0.0000

Output
As for the space group: Imm2, No. 44. As for the crystal system: orthorhombic.

Of them, c) has the highest stability.

a) A geometry-optimized CrCoNi structure. Source: Alexandria via LeMat-Bulk, functional PBE.

abc: 3.7891 3.7891 3.7891
angles: 60.00 60.00 60.00
Sites, in units of the cell vectors:
Cr 0.0000 0.0000 0.0000
Co 0.7500 0.7500 0.7500
Ni 0.2500 0.2500 0.2500

Output
As for the space group: F-43m, No. 216. As for the crystal system: cubic.

b) A geometry-optimized CrCoNi structure. Source: Alexandria via LeMat-Bulk, functional PBE.

abc: 5.6330 5.6330 5.6330
angles: 154.71 154.71 36.07
Sites, in units of the cell vectors:
Cr 0.0000 0.0000 0.0000
Co 0.3386 0.3386 0.0000
Ni 0.6693 0.6693 0.0000

Output
As for the space group: I4mm, No. 107. As for the crystal system: tetragonal.

c) A geometry-optimized CrCoNi structure. Source: Alexandria via LeMat-Bulk, functional PBE.

abc: 7.1799 7.1799 4.0685
angles: 90.00 90.00 160.91
Sites, in units of the cell vectors:
Cr 0.2009 0.7991 0.7500
Cr 0.7991 0.2009 0.2500
Co 0.3686 0.6314 0.7500
Co 0.6314 0.3686 0.2500
Ni 0.4562 0.5438 0.2500
Ni 0.5438 0.4562 0.7500

Output
As for the space group: Cmcm, No. 63. As for the crystal system: orthorhombic.

Of them, b) has the highest stability.

a) A geometry-optimized CrCo2Ni4 structure. Source: Alexandria via LeMat-Bulk, functional PBE.

abc: 4.2845 4.2845 4.8585
angles: 90.26 90.26 109.72
Sites, in units of the cell vectors:
Cr 0.0000 0.0000 0.0000
Co 0.5000 0.5000 0.0000
Co 0.5000 0.5000 0.5000
Ni 0.0013 0.5029 0.2555
Ni 0.4971 0.9987 0.7445
Ni 0.5029 0.0013 0.2555
Ni 0.9987 0.4971 0.7445

Output
As for the space group: C2/m, No. 12. As for the crystal system: monoclinic.

b) A geometry-optimized CrCo2Ni4 structure. Source: Alexandria via LeMat-Bulk, functional PBE.

abc: 6.0626 4.5119 6.5232
angles: 90.00 117.33 90.00
Sites, in units of the cell vectors:
Cr 0.0419 0.2500 0.3085
Cr 0.9581 0.7500 0.6915
Co 0.0272 0.2500 0.9339
Co 0.2131 0.7500 0.5000
Co 0.7869 0.2500 0.5000
Co 0.9728 0.7500 0.0661
Ni 0.2404 0.2500 0.7112
Ni 0.3854 0.7500 0.9250
Ni 0.3855 0.0005 0.2718
Ni 0.3855 0.4995 0.2718
Ni 0.6145 0.9995 0.7282
Ni 0.6145 0.5005 0.7282
Ni 0.6146 0.2500 0.0750
Ni 0.7596 0.7500 0.2888

Output
As for the space group: P2_1/m, No. 11. As for the crystal system: monoclinic.

Of them, b) has the highest stability.